a | First-principles (PBE-GGA) data for an optimized crystal structure of BPIrCl2, as listed in Alexandria.

Calculated values
V   112.9 Å³/f.u.

abc: 5.054 5.054 4.419
angles: 90.00 90.00 90.00
Atoms (fractional coordinates):
B 0.000 0.000 0.000
P 0.500 0.500 0.000
Ir 0.500 0.500 0.500
Cl 0.000 0.500 0.500
Cl 0.500 0.000 0.500

---

b | First-principles (PBE-GGA) data for an optimized crystal structure of BPIrCl2, as listed in Alexandria.

Calculated values
V   74.0 Å³/f.u.

abc: 4.095 4.095 4.413
angles: 90.00 90.00 90.00
Atoms (fractional coordinates):
B 0.000 0.000 0.000
P 0.000 0.000 0.500
Ir 0.500 0.500 0.500
Cl 0.000 0.500 0.000
Cl 0.500 0.000 0.000

---

Stability check: which of them is least stable? b.

---

a | First-principles (PBE-GGA) data for an optimized crystal structure of BIrS2Cl, as listed in Alexandria.

Calculated values
V   104.9 Å³/f.u.

abc: 4.602 4.602 4.953
angles: 90.00 90.00 90.00
Atoms (fractional coordinates):
B 0.000 0.000 0.000
Ir 0.500 0.500 0.500
S 0.000 0.500 0.500
S 0.500 0.000 0.500
Cl 0.500 0.500 0.000

---

b | First-principles (PBE-GGA) data for an optimized crystal structure of BIrS2Cl, as listed in Alexandria.

Calculated values
V   70.7 Å³/f.u.

abc: 4.246 4.246 3.924
angles: 90.00 90.00 90.00
Atoms (fractional coordinates):
B 0.000 0.000 0.000
Ir 0.500 0.500 0.500
S 0.000 0.500 0.000
S 0.500 0.000 0.000
Cl 0.000 0.000 0.500

---

Stability check: which of them is least stable? a.

---

a | First-principles (PBE-GGA) data for an optimized crystal structure of K2BCl, as listed in Alexandria.

Calculated values
V   115.9 Å³/f.u.

abc: 5.473 5.473 5.473
angles: 60.00 60.00 60.00
Atoms (fractional coordinates):
K 0.250 0.250 0.250
K 0.750 0.750 0.750
B 0.000 0.000 0.000
Cl 0.500 0.500 0.500

---

b | First-principles (PBE-GGA) data for an optimized crystal structure of K2BCl, as listed in Alexandria.

Calculated values
V   153.0 Å³/f.u.

abc: 7.383 7.383 7.383
angles: 113.29 113.29 102.08
Atoms (fractional coordinates):
K 0.113 0.625 0.988
K 0.375 0.363 0.488
K 0.637 0.125 0.012
K 0.875 0.887 0.512
B 0.250 0.750 0.500
B 0.500 0.500 0.000
Cl 0.000 0.000 0.000
Cl 0.750 0.250 0.500

---

Stability check: which of them is least stable? a.

---

a | First-principles (PBE-GGA) data for an optimized crystal structure of KBP2Cl, as listed in Alexandria.

Calculated values
V   241.9 Å³/f.u.

abc: 6.509 6.509 5.711
angles: 90.00 90.00 90.00
Atoms (fractional coordinates):
K 0.000 0.000 0.000
B 0.500 0.500 0.500
P 0.000 0.500 0.000
P 0.500 0.000 0.000
Cl 0.000 0.000 0.500

---

b | First-principles (PBE-GGA) data for an optimized crystal structure of KBP2Cl, as listed in Alexandria.

Calculated values
V   135.4 Å³/f.u.

abc: 4.019 4.019 8.380
angles: 90.00 90.00 90.00
Atoms (fractional coordinates):
K 0.000 0.000 0.000
B 0.500 0.500 0.500
P 0.000 0.500 0.500
P 0.500 0.000 0.500
Cl 0.500 0.500 0.000

---

Stability check: which of them is least stable? a.

---

a | First-principles (PBE-GGA) data for an optimized crystal structure of KBPCl2, as listed in Alexandria.

Calculated values
V   110.6 Å³/f.u.

abc: 5.572 5.572 3.563
angles: 90.00 90.00 90.00
Atoms (fractional coordinates):
K 0.000 0.000 0.000
B 0.500 0.500 0.500
P 0.500 0.500 0.000
Cl 0.000 0.500 0.500
Cl 0.500 0.000 0.500

---

b | First-principles (PBE-GGA) data for an optimized crystal structure of KBPCl2, as listed in Alexandria.

Calculated values
V   204.5 Å³/f.u.

abc: 5.828 5.828 6.020
angles: 90.00 90.00 90.00
Atoms (fractional coordinates):
K 0.000 0.000 0.000
B 0.500 0.500 0.500
P 0.000 0.000 0.500
Cl 0.000 0.500 0.000
Cl 0.500 0.000 0.000

---

Stability check: which of them is least stable? b.

---

a | First-principles (PBE-GGA) data for an optimized crystal structure of LaBCl2, as listed in Alexandria.

Calculated values
V   85.7 Å³/f.u.

abc: 4.949 4.949 4.949
angles: 60.00 60.00 60.00
Atoms (fractional coordinates):
La 0.000 0.000 0.000
B 0.500 0.500 0.500
Cl 0.250 0.250 0.250
Cl 0.750 0.750 0.750

---

b | First-principles (PBE-GGA) data for an optimized crystal structure of LaBCl2, as listed in Alexandria.

Calculated values
V   112.0 Å³/f.u.

abc: 9.458 9.458 9.458
angles: 22.85 22.85 22.85
Atoms (fractional coordinates):
La 0.000 0.000 0.000
B 0.500 0.500 0.500
Cl 0.404 0.404 0.404
Cl 0.596 0.596 0.596

---

Stability check: which of them is least stable? b.